Record 1
MgTcPb2N6: optimized geometry, PBE-GGA. Values from VASP.

Geometry as Quantum ESPRESSO input:
```
&SYSTEM
  ibrav = 0, nat = 10, ntyp = 4
/
ATOMIC_SPECIES
Pb 207.20 Pb.upf
Mg 24.30 Mg.upf
N 14.01 N.upf
Tc 98.00 Tc.upf
CELL_PARAMETERS angstrom
-2.856 2.856 3.910
2.856 -2.856 3.910
2.856 2.856 -3.910
ATOMIC_POSITIONS crystal
Pb 0.250 0.750 0.500
Pb 0.750 0.250 0.500
Mg 0.500 0.500 0.000
N 0.763 0.763 0.000
N 0.673 0.154 0.827
N 0.154 0.327 0.481
N 0.846 0.673 0.519
N 0.327 0.846 0.173
N 0.237 0.237 0.000
Tc 0.000 0.000 0.000
```

Properties
Its space group is I4/m (87). Its crystal system is tetragonal. As for the final energy: -60.74 eV for the cell shown.

=====

Record 2
MgZnPb2N4: optimized geometry, PBE-GGA. Values from VASP.

Geometry as Quantum ESPRESSO input:
```
&SYSTEM
  ibrav = 0, nat = 8, ntyp = 4
/
ATOMIC_SPECIES
Zn 65.41 Zn.upf
N 14.01 N.upf
Mg 24.30 Mg.upf
Pb 207.20 Pb.upf
CELL_PARAMETERS angstrom
2.556 5.386 1.110
-4.287 4.126 1.169
1.039 -5.536 2.247
ATOMIC_POSITIONS crystal
Zn 0.750 0.250 0.500
N 0.648 0.126 0.026
N 0.100 0.622 0.974
N 0.874 0.900 0.522
N 0.378 0.352 0.478
Mg 0.000 0.000 0.000
Pb 0.250 0.750 0.500
Pb 0.500 0.500 0.000
```

Properties
Its space group is I-4 (82). Its crystal system is tetragonal. As for the final energy: -41.24 eV for the cell shown.

=====

Record 3
MgZr4PbN2: optimized geometry, PBE-GGA. Values from VASP.

Geometry as Quantum ESPRESSO input:
```
&SYSTEM
  ibrav = 0, nat = 8, ntyp = 4
/
ATOMIC_SPECIES
Zr 91.22 Zr.upf
Mg 24.30 Mg.upf
N 14.01 N.upf
Pb 207.20 Pb.upf
CELL_PARAMETERS angstrom
3.328 0.000 0.000
-1.664 2.882 0.000
0.000 0.000 15.094
ATOMIC_POSITIONS crystal
Zr 0.667 0.333 0.829
Zr 0.667 0.333 0.171
Zr 0.000 0.000 0.666
Zr 0.000 0.000 0.334
Mg 0.000 0.000 0.000
N 0.333 0.667 0.250
N 0.333 0.667 0.750
Pb 0.667 0.333 0.500
```

Properties
Its space group is P-6m2 (187). Its crystal system is hexagonal. As for the final energy: -63.41 eV for the cell shown.

=====

Copy entry 1 word for word.
MgTcPb2N6: optimized geometry, PBE-GGA. Values from VASP.

Geometry as Quantum ESPRESSO input:
```
&SYSTEM
  ibrav = 0, nat = 10, ntyp = 4
/
ATOMIC_SPECIES
Pb 207.20 Pb.upf
Mg 24.30 Mg.upf
N 14.01 N.upf
Tc 98.00 Tc.upf
CELL_PARAMETERS angstrom
-2.856 2.856 3.910
2.856 -2.856 3.910
2.856 2.856 -3.910
ATOMIC_POSITIONS crystal
Pb 0.250 0.750 0.500
Pb 0.750 0.250 0.500
Mg 0.500 0.500 0.000
N 0.763 0.763 0.000
N 0.673 0.154 0.827
N 0.154 0.327 0.481
N 0.846 0.673 0.519
N 0.327 0.846 0.173
N 0.237 0.237 0.000
Tc 0.000 0.000 0.000
```

Properties
Its space group is I4/m (87). Its crystal system is tetragonal. As for the final energy: -60.74 eV for the cell shown.